[1]
Material: Sr2NiAgC
Method: DFT, GGA-PBE
State: optimized geometry

The structure in POSCAR format:
```
Sr2NiAgC
1.0
5.553 0.000 0.000
0.000 5.553 0.000
0.000 0.000 3.659
Sr C Ag Ni
2 1 1 1
direct
0.000 0.500 0.000
0.500 0.000 0.000
0.000 0.000 0.000
0.500 0.500 0.500
0.000 0.000 0.500
```

Computed properties:
The calculation puts the total energy at -21.533 eV per cell. Its total magnetic moment is 0.000 μB per atom. As for the symmetry: P4/mmm, No. 123.


[2]
Material: HgSbO
Method: DFT, GGA-PBE
State: optimized geometry

The structure in POSCAR format:
```
HgSbO
1.0
-2.687 0.583 -1.841
-1.678 -3.621 1.311
-2.213 7.505 7.544
Sb Hg O
2 2 2
direct
0.527 0.827 0.597
0.473 0.173 0.403
0.295 0.833 0.110
0.705 0.167 0.890
0.738 0.691 0.924
0.262 0.309 0.076
```

Computed properties:
The calculation puts the total energy at -18.645 eV per cell. Its total magnetic moment is 0.000 μB per atom. As for the symmetry: P-1, No. 2. As for the uncorrected formation energy: 0.020 eV/atom.


[3]
Material: NiGeBr
Method: DFT, GGA-PBE
State: optimized geometry

The structure in POSCAR format:
```
NiGeBr
1.0
10.777 0.000 0.015
0.000 3.877 0.000
-1.340 0.000 6.515
Ni Ge Br
4 4 4
direct
0.394 0.000 0.445
0.394 0.500 0.945
0.242 0.000 0.066
0.242 0.500 0.566
0.350 0.000 0.766
0.350 0.500 0.266
0.136 0.000 0.367
0.136 0.500 0.867
0.915 0.000 0.291
0.915 0.500 0.791
0.606 0.000 0.519
0.606 0.500 0.019
```

Computed properties:
The calculation puts the total energy at -50.360 eV per cell. Its total magnetic moment is 0.000 μB per atom. As for the excess energy over the best structure of this formula in the dataset: 117.5 meV/atom. As for the symmetry: Cm, No. 8. As for the uncorrected formation energy: -0.173 eV/atom.


[4]
Material: NbAlGa2
Method: DFT, GGA-PBE
State: optimized geometry

The structure in POSCAR format:
```
NbAlGa2
1.0
-3.563 1.832 -1.248
-0.286 -3.603 -4.470
-2.838 -2.723 4.103
Nb Al Ga
2 2 4
direct
0.250 0.420 0.698
0.750 0.580 0.302
0.250 0.265 0.171
0.750 0.735 0.829
0.250 0.893 0.600
0.750 0.107 0.400
0.250 0.802 0.108
0.750 0.198 0.892
```

Computed properties:
The calculation puts the total energy at -40.577 eV per cell. Its total magnetic moment is 0.000 μB per atom. As for the symmetry: P2_1/m, No. 11.


[5]
Material: Ce2PmHoSe4
Method: DFT, GGA-PBE
State: optimized geometry

The structure in POSCAR format:
```
Ce2PmHoSe4
1.0
-4.084 -0.677 0.127
1.153 -7.099 -0.770
0.702 -3.008 6.525
Ce Pm Ho Se
2 1 1 4
direct
0.000 0.000 0.000
0.500 0.000 0.500
0.500 0.500 0.000
0.000 0.500 0.500
0.000 0.745 0.746
0.000 0.255 0.254
0.500 0.740 0.259
0.500 0.260 0.741
```

Computed properties:
The calculation puts the total energy at -49.565 eV per cell. Its total magnetic moment is 0.017 μB per atom. As for the symmetry: P2/m, No. 10. As for the uncorrected formation energy: -1.804 eV/atom.


[6]
Material: Sr2TaTl
Method: DFT, GGA-PBE
State: optimized geometry

The structure in POSCAR format:
```
Sr2TaTl
1.0
-2.685 1.082 -4.725
-2.683 -4.058 -2.654
-5.540 -0.047 -0.112
Sr Ta Tl
2 1 1
direct
0.000 0.000 0.000
0.250 0.250 0.250
0.500 0.500 0.500
0.750 0.750 0.750
```

Computed properties:
The calculation puts the total energy at -14.613 eV per cell. Its total magnetic moment is 0.879 μB per atom. As for the excess energy over the best structure of this formula in the dataset: 214.0 meV/atom. As for the symmetry: F-43m, No. 216.


[7]
Material: Al2SbOs
Method: DFT, GGA-PBE
State: optimized geometry

The structure in POSCAR format:
```
Al2SbOs
1.0
-5.163 2.230 -6.622
-3.033 0.505 -8.126
-5.450 -0.882 -6.709
Sb Os Al
1 1 2
direct
0.750 0.750 0.750
0.250 0.250 0.250
0.988 0.988 0.988
0.512 0.512 0.512
```

Computed properties:
The calculation puts the total energy at -22.600 eV per cell. Its total magnetic moment is 0.000 μB per atom. As for the symmetry: R-3m, No. 166. As for the uncorrected formation energy: 0.059 eV/atom.